Entry 1:
Entry from the Alexandria database: crystalline BeSbIr2 at its relaxed geometry (GGA-PBE).

a b c (Å): 4.474 4.474 5.018
angles (deg): 106.06 106.06 40.27
Fractional positions:
Be  0.000  0.000  0.000
Sb  0.749  0.749  0.430
Ir  0.291  0.291  0.026
Ir  0.511  0.511  0.660

## Properties
Its electronic total energy is -6.443 eV per atom. As for the space group: No. 8. The uncorrected formation energy comes out at -0.050 eV/atom.

---

Entry 2:
Entry from the Alexandria database: crystalline BeSbIr at its relaxed geometry (GGA-PBE).

a b c (Å): 3.097 3.097 5.852
angles (deg): 90.00 90.00 120.00
Fractional positions:
Be  0.000  0.000  0.000
Sb  0.667  0.333  0.624
Ir  0.333  0.667  0.257

## Properties
Its electronic total energy is -5.371 eV per atom. As for the space group: No. 156. The uncorrected formation energy comes out at 0.198 eV/atom.

---

Entry 3:
Entry from the Alexandria database: crystalline Be2SbIr at its relaxed geometry (GGA-PBE).

a b c (Å): 4.933 4.933 3.148
angles (deg): 105.84 105.84 115.32
Fractional positions:
Be  0.000  0.500  0.000
Be  0.500  0.000  0.000
Sb  0.000  0.000  0.000
Ir  0.500  0.500  0.000

## Properties
Its electronic total energy is -4.808 eV per atom. As for the space group: No. 12. The uncorrected formation energy comes out at 0.301 eV/atom.

---

Entry 4:
Entry from the Alexandria database: crystalline Be2SbIr at its relaxed geometry (GGA-PBE).

a b c (Å): 5.908 5.908 5.908
angles (deg): 120.82 120.82 88.59
Fractional positions:
Be  0.076  0.625  0.951
Be  0.375  0.326  0.451
Be  0.674  0.125  0.049
Be  0.875  0.924  0.549
Sb  0.250  0.750  0.500
Sb  0.500  0.500  0.000
Ir  0.000  0.000  0.000
Ir  0.750  0.250  0.500

## Properties
Its electronic total energy is -4.537 eV per atom. As for the space group: No. 122. The uncorrected formation energy comes out at 0.572 eV/atom.

---

Entry 5:
Entry from the Alexandria database: crystalline Be4SbIr at its relaxed geometry (GGA-PBE).

a b c (Å): 4.606 4.606 4.606
angles (deg): 60.00 60.00 60.00
Fractional positions:
Be  0.121  0.121  0.121
Be  0.121  0.121  0.637
Be  0.121  0.637  0.121
Be  0.637  0.121  0.121
Sb  0.500  0.500  0.500
Ir  0.750  0.750  0.750

## Properties
Its electronic total energy is -4.628 eV per atom. As for the space group: No. 216. The uncorrected formation energy comes out at 0.020 eV/atom.

---

Entry 6:
Entry from the Alexandria database: crystalline BeSbIr2 at its relaxed geometry (GGA-PBE).

a b c (Å): 2.904 2.904 8.255
angles (deg): 90.00 90.00 117.74
Fractional positions:
Be  0.000  0.000  0.000
Sb  0.000  0.000  0.500
Ir  0.500  0.500  0.203
Ir  0.500  0.500  0.797

## Properties
Its electronic total energy is -6.162 eV per atom. As for the space group: No. 65. The uncorrected formation energy comes out at 0.231 eV/atom.

---

Entry 7:
Entry from the Alexandria database: crystalline Be2SbIr2 at its relaxed geometry (GGA-PBE).

a b c (Å): 6.939 6.939 2.889
angles (deg): 90.00 90.00 90.00
Fractional positions:
Be  0.136  0.364  0.000
Be  0.364  0.864  0.000
Be  0.636  0.136  0.000
Be  0.864  0.636  0.000
Sb  0.000  0.000  0.500
Sb  0.500  0.500  0.500
Ir  0.149  0.649  0.500
Ir  0.351  0.149  0.500
Ir  0.649  0.851  0.500
Ir  0.851  0.351  0.500

## Properties
Its electronic total energy is -5.986 eV per atom. As for the space group: No. 127. The uncorrected formation energy comes out at -0.126 eV/atom.

---

Entry 8:
Entry from the Alexandria database: crystalline BeSbIr2 at its relaxed geometry (GGA-PBE).

a b c (Å): 4.438 4.438 4.438
angles (deg): 60.00 60.00 60.00
Fractional positions:
Be  0.000  0.000  0.000
Sb  0.750  0.750  0.750
Ir  0.250  0.250  0.250
Ir  0.500  0.500  0.500

## Properties
Its electronic total energy is -6.003 eV per atom. As for the space group: No. 216. The uncorrected formation energy comes out at 0.390 eV/atom.